# 1
The following is a PBE calculation of an optimized crystal structure of La2TeIr2, from the Alexandria database.

Summary:
The space group is I4/mmm. The volume comes out at 130.4 Å³/f.u. As for the energy: -6.91 eV per atom.

Geometry as extended XYZ:
```
5
Lattice="-2.817 2.817 4.108 2.817 -2.817 4.108 2.817 2.817 -4.108" Properties=species:S:1:pos:R:3 pbc="T T T"
La 2.817 0.000 2.054
La 0.000 2.817 2.054
Te 0.000 0.000 0.000
Ir 0.000 0.000 2.834
Ir 0.000 0.000 5.382
```



# 2
The following is a PBE calculation of an optimized crystal structure of Ac2AgAs3Pd4, from the Alexandria database.

Summary:
The space group is P-4m2. The volume comes out at 211.2 Å³/f.u. The value obtained for the energy of formation is -0.816 eV/atom. As for the energy: -5.39 eV per atom.

Geometry as extended XYZ:
```
10
Lattice="4.489 0.000 0.000 0.000 4.489 0.000 0.000 0.000 10.483" Properties=species:S:1:pos:R:3 pbc="T T T"
Ac 0.000 2.244 2.556
Ac 2.244 0.000 7.928
Ag 0.000 0.000 5.242
As 0.000 2.244 9.146
As 2.244 0.000 1.338
As 2.244 2.244 5.242
Pd 0.000 0.000 0.000
Pd 0.000 2.244 6.670
Pd 2.244 0.000 3.813
Pd 2.244 2.244 0.000
```



# 3
The following is a PBE calculation of an optimized crystal structure of Y3Mn4, from the Alexandria database.

Summary:
The space group is I4/mmm. The volume comes out at 152.8 Å³/f.u. The value obtained for the energy of formation is 0.307 eV/atom. As for the energy: -7.70 eV per atom.

Geometry as extended XYZ:
```
7
Lattice="-1.733 1.733 12.717 1.733 -1.733 12.717 1.733 1.733 -12.717" Properties=species:S:1:pos:R:3 pbc="T T T"
Y 0.000 0.000 0.000
Y 0.000 0.000 7.812
Y 0.000 0.000 17.621
Mn 0.000 0.000 3.075
Mn 0.000 0.000 10.834
Mn 0.000 0.000 14.599
Mn 0.000 0.000 22.358
```